Record 1
Below is crystalline PrY9Er2 at its relaxed geometry, with properties calculated at the PBE level.

Cell: 5.0530 5.0530 15.1715 Å, 90.00 90.00 90.00°
Element x y z (fractional)
Y 0.5000 0.5000 0.6645
Y 0.0000 0.5000 0.1697
Y 0.5000 0.0000 0.5000
Y 0.0000 0.5000 0.5000
Y 0.5000 0.5000 0.3355
Y 0.5000 0.0000 0.8303
Y 0.5000 0.0000 0.1697
Y 0.5000 0.5000 0.0000
Y 0.0000 0.5000 0.8303
Er 0.0000 0.0000 0.3347
Er 0.0000 0.0000 0.6653
Pr 0.0000 0.0000 0.0000

D(E_F) ... 1.51 states/eV per atom
Energy relative to the elements ... 0.026 eV per atom
Crystal system ... tetragonal
Total DFT energy (no corrections) ... -71.77 eV for the cell shown


Record 2
Below is crystalline LiPuSnBi at its relaxed geometry, with properties calculated at the PBE level.

Cell: 5.2832 5.2832 5.2832 Å, 60.00 60.00 60.00°
Last column: magnetic moment on the atom in μB.
Element x y z (fractional)
Pu 0.5000 0.5000 0.5000  -5.42
Sn 0.2500 0.2500 0.2500  0.01
Li 0.0000 0.0000 0.0000  0.01
Bi 0.7500 0.7500 0.7500  0.01

D(E_F) ... 3.31 states/eV per atom
Energy relative to the elements ... -0.270 eV per atom
Crystal system ... cubic
Total DFT energy (no corrections) ... -25.21 eV for the cell shown


Record 3
Below is crystalline SiHg2Pb at its relaxed geometry, with properties calculated at the PBE level.

Cell: 3.3238 3.3238 8.7284 Å, 90.00 90.00 90.00°
Element x y z (fractional)
Hg 0.0000 0.0000 0.9611
Hg 0.0000 0.0000 0.5389
Pb 0.5000 0.5000 0.2500
Si 0.5000 0.5000 0.7500

D(E_F) ... 0.42 states/eV per atom
Crystal system ... tetragonal
Total DFT energy (no corrections) ... -8.36 eV for the cell shown
Energy relative to the elements, uncorrected ... 0.344 eV/atom


Record 4
Below is crystalline KSrLi2 at its relaxed geometry, with properties calculated at the PBE level.

Cell: 6.1177 6.1177 6.1177 Å, 60.00 60.00 60.00°
Element x y z (fractional)
Sr 0.7500 0.7500 0.7500
K 0.5000 0.5000 0.5000
Li 0.0000 0.0000 0.0000
Li 0.2500 0.2500 0.2500

D(E_F) ... 0.58 states/eV per atom
Energy relative to the elements ... 0.208 eV per atom
Crystal system ... cubic
Total DFT energy (no corrections) ... -5.77 eV for the cell shown


Record 5
Below is crystalline Sr2SI2 at its relaxed geometry, with properties calculated at the PBE level.

Cell: 5.0145 5.0145 8.6877 Å, 73.23 73.23 90.00°
Element x y z (fractional)
I 0.2500 0.7500 0.5000
I 0.7500 0.2500 0.5000
Sr 0.3822 0.3822 0.2356
Sr 0.6178 0.6178 0.7644
S 0.0000 0.0000 0.0000

D(E_F) ... 0.00 states/eV per atom
Crystal system ... tetragonal
Total DFT energy (no corrections) ... -15.92 eV for the cell shown
Energy relative to the elements, uncorrected ... -1.065 eV/atom


Record 6
Below is crystalline Hf3MgSb at its relaxed geometry, with properties calculated at the PBE level.

Cell: 5.2506 5.2506 5.2506 Å, 90.00 90.00 90.00°
Element x y z (fractional)
Hf 0.0000 0.5000 0.0000
Hf 0.0000 0.0000 0.5000
Hf 0.5000 0.0000 0.0000
Sb 0.0000 0.0000 0.0000
Mg 0.5000 0.5000 0.5000

D(E_F) ... 1.04 states/eV per atom
Crystal system ... cubic
Total DFT energy (no corrections) ... -31.45 eV for the cell shown
Energy relative to the elements, uncorrected ... 0.825 eV/atom


The highest total DFT energy (no corrections) belongs to which entry? KSrLi2